Hg3HRh after structural relaxation. Source: Alexandria, functional PBE-GGA.

Output
E above lowest polymorph = 0.000 eV/atom
SG = No. 221
total magnetization = 0.00 μB per formula unit
theoretical density = 14.145 Mg/m³

extended XYZ file:
```
5
Lattice="4.359 0.000 0.000 0.000 4.359 0.000 0.000 0.000 4.359" Properties=species:S:1:pos:R:3 pbc="T T T"
H 0.000 0.000 0.000
Rh 2.180 2.180 2.180
Hg 0.000 2.180 0.000
Hg 0.000 0.000 2.180
Hg 2.180 0.000 0.000
```